No. 1
Entry from Alexandria: an optimized crystal structure of Nd2Be4Si3Ir (PBE).

abc: 3.8979 3.8979 10.0199
angles: 90.00 90.00 90.00
Space group P-4m2 (No. 115)
Asymmetric unit:
Nd 0.0000 0.5000 0.2443
Be 0.0000 0.0000 0.0000
Be 0.0000 0.5000 0.6300
Be 0.5000 0.5000 0.0000
Si 0.0000 0.5000 0.8712
Si 0.5000 0.5000 0.5000
Ir 0.0000 0.0000 0.5000

Output
uncorrected formation energy = -492 meV/atom

***

No. 2
Entry from Alexandria: an optimized crystal structure of Nb14MoOs (PBE).

abc: 6.5513 9.3169 9.3024
angles: 90.00 90.00 90.00
Space group Cmmm (No. 65)
Asymmetric unit:
Nb 0.0000 0.0000 0.0000
Nb 0.0000 0.2493 0.2509
Nb 0.0000 0.5000 0.0000
Nb 0.2493 0.5000 0.2603
Nb 0.2500 0.2500 0.0000
Nb 0.2500 0.2500 0.5000
Mo 0.0000 0.5000 0.5000
Os 0.0000 0.0000 0.5000

Output
ΔE_f = -94.1 meV/atom

***

No. 3
Entry from Alexandria: an optimized crystal structure of PrZnCuNi3 (PBE).

abc: 5.0683 14.2597 5.3282
angles: 90.00 90.00 90.00
Space group Cmcm (No. 63)
Asymmetric unit:
Pr 0.0000 0.1918 0.2500
Zn 0.0000 0.1141 0.7500
Cu 0.0000 0.3880 0.2500
Ni 0.0000 0.3825 0.7500
Ni 0.2471 0.0000 0.0000

Output
ΔE_f = -40.6 meV/atom

***

No. 4
Entry from Alexandria: an optimized crystal structure of PmScNiSn (PBE).

abc: 7.1099 7.1099 7.1099
angles: 90.00 90.00 90.00
Space group F-43m (No. 216)
Asymmetric unit:
Pm 0.0000 0.0000 0.0000
Sc 0.0000 0.0000 0.5000
Ni 0.2500 0.2500 0.2500
Sn 0.2500 0.2500 0.7500

Output
ΔE_f = -392.9 meV/atom

***

No. 5
Entry from Alexandria: an optimized crystal structure of FeGeCl2 (PBE).

abc: 6.3842 6.3842 9.8107
angles: 90.00 90.00 90.00
Space group I-42d (No. 122)
Asymmetric unit:
Fe 0.0000 0.0000 0.0000
Ge 0.0000 0.0000 0.5000
Cl 0.1733 0.2500 0.1250

Output
uncorrected formation energy = 168 meV/atom
distance to the lowest polymorph of the same formula = 0.000 eV/atom

***

No. 6
Entry from Alexandria: an optimized crystal structure of CdPbSe2 (PBE).

abc: 4.3877 6.1104 7.8067
angles: 90.00 90.00 90.00
Space group Immm (No. 71)
Asymmetric unit:
Cd 0.0000 0.0000 0.0000
Pb 0.0000 0.0000 0.5000
Se 0.0000 0.5000 0.2793

Output
uncorrected formation energy = -274 meV/atom

***

One value per record, in order, for magnetization: 0.0 0.0 0.0 0.0 8.0 0.0 μB per cell.
One value per record, in order, for VASP energy: -0.40049 -0.75586 -0.33978 -0.41229 -0.29585 -0.23317 Ry per atom.